1.
Material: Zr2WC
Method: DFT, PBE-GGA
State: relaxed

Lattice parameters (Å, degrees): 8.4550 8.4550 4.1345 90.00 90.00 90.00
Last column: nearest neighbours and their distance in Å.
Space group I-42d (No. 122)
Asymmetric unit:
Zr  0.1076  0.7500  0.1250  2 C 2.36
W  0.0000  0.0000  0.5000  2 C 2.07
C  0.0000  0.0000  0.0000  2 W 2.07

Calculated values
Total energy ... -38.53 eV/f.u.
Size of the total moment ... 0.0 μB per formula unit

2.
Material: BaSc2Ni
Method: DFT, PBE-GGA
State: relaxed

Lattice parameters (Å, degrees): 3.9416 3.9416 25.9600 90.00 90.00 120.00
Last column: nearest neighbours and their distance in Å.
Space group R-3m (No. 166, hexagonal axes)
Asymmetric unit:
Ba  0.0000  0.0000  0.0000  6 Sc 3.87, 6 Ba 3.94
Sc  0.0000  0.0000  0.2128  3 Ni 2.57
Ni  0.0000  0.0000  0.5000  6 Sc 2.57

Calculated values
Size of the total moment ... 0.0 μB per formula unit
Energy above the lowest structure with this stoichiometry ... 17.5 meV/atom

Please write out number 2 again, unchanged.
Material: BaSc2Ni
Method: DFT, PBE-GGA
State: relaxed

Lattice parameters (Å, degrees): 3.9416 3.9416 25.9600 90.00 90.00 120.00
Last column: nearest neighbours and their distance in Å.
Space group R-3m (No. 166, hexagonal axes)
Asymmetric unit:
Ba  0.0000  0.0000  0.0000  6 Sc 3.87, 6 Ba 3.94
Sc  0.0000  0.0000  0.2128  3 Ni 2.57
Ni  0.0000  0.0000  0.5000  6 Sc 2.57

Calculated values
Size of the total moment ... 0.0 μB per formula unit
Energy above the lowest structure with this stoichiometry ... 17.5 meV/atom

Copy entry 2 word for word.
Material: BaSc2Ni
Method: DFT, PBE-GGA
State: relaxed

Lattice parameters (Å, degrees): 3.9416 3.9416 25.9600 90.00 90.00 120.00
Last column: nearest neighbours and their distance in Å.
Space group R-3m (No. 166, hexagonal axes)
Asymmetric unit:
Ba  0.0000  0.0000  0.0000  6 Sc 3.87, 6 Ba 3.94
Sc  0.0000  0.0000  0.2128  3 Ni 2.57
Ni  0.0000  0.0000  0.5000  6 Sc 2.57

Calculated values
Size of the total moment ... 0.0 μB per formula unit
Energy above the lowest structure with this stoichiometry ... 17.5 meV/atom

Copy entry 1 word for word.
Material: Zr2WC
Method: DFT, PBE-GGA
State: relaxed

Lattice parameters (Å, degrees): 8.4550 8.4550 4.1345 90.00 90.00 90.00
Last column: nearest neighbours and their distance in Å.
Space group I-42d (No. 122)
Asymmetric unit:
Zr  0.1076  0.7500  0.1250  2 C 2.36
W  0.0000  0.0000  0.5000  2 C 2.07
C  0.0000  0.0000  0.0000  2 W 2.07

Calculated values
Total energy ... -38.53 eV/f.u.
Size of the total moment ... 0.0 μB per formula unit